one) Below is an optimized crystal structure of ZnHOF2, with properties calculated at the PBE-GGA level.

Values from the calculation:
Its density of states at the Fermi level is 2.9 states/eV/f.u.

Cell lengths 3.9845, 3.9845, 2.6363 Å; angles 90.00, 90.00, 90.00 degrees
Sites, in units of the cell vectors:
Zn  0.0000  0.0000  0.0000
H  0.5000  0.5000  0.5000
O  0.5000  0.5000  0.0000
F  0.0000  0.5000  0.5000
F  0.5000  0.0000  0.5000

two) Below is an optimized crystal structure of ZnHOF2, with properties calculated at the PBE-GGA level.

Values from the calculation:
Its density of states at the Fermi level is 4.6 states/eV/f.u.

Cell lengths 3.9289, 3.9289, 4.1023 Å; angles 90.00, 90.00, 90.00 degrees
Sites, in units of the cell vectors:
Zn  0.0000  0.0000  0.0000
H  0.5000  0.5000  0.5000
O  0.0000  0.0000  0.5000
F  0.0000  0.5000  0.0000
F  0.5000  0.0000  0.0000

In order of decreasing stability: one), two).

one) Below is an optimized crystal structure of ZrHOF2, with properties calculated at the PBE-GGA level.

Values from the calculation:
Its density of states at the Fermi level is 1.4 states/eV/f.u.

Cell lengths 3.1913, 3.1913, 4.2985 Å; angles 90.00, 90.00, 90.00 degrees
Sites, in units of the cell vectors:
Zr  0.0000  0.0000  0.0000
H  0.5000  0.5000  0.5000
O  0.5000  0.5000  0.0000
F  0.0000  0.5000  0.5000
F  0.5000  0.0000  0.5000

two) Below is an optimized crystal structure of ZrHOF2, with properties calculated at the PBE-GGA level.

Values from the calculation:
Its density of states at the Fermi level is 0.0 states/eV/f.u.

Cell lengths 4.2566, 4.2566, 4.0199 Å; angles 90.00, 90.00, 90.00 degrees
Sites, in units of the cell vectors:
Zr  0.0000  0.0000  0.0000
H  0.5000  0.5000  0.5000
O  0.0000  0.0000  0.5000
F  0.0000  0.5000  0.0000
F  0.5000  0.0000  0.0000

In order of decreasing stability: two), one).

one) Below is an optimized crystal structure of H2OsF, with properties calculated at the PBE-GGA level.

Values from the calculation:
Its density of states at the Fermi level is 2.4 states/eV/f.u.

Cell lengths 4.4805, 4.4805, 4.4805 Å; angles 118.12, 118.12, 93.29 degrees
Sites, in units of the cell vectors:
H  0.1057  0.6250  0.9807
H  0.3750  0.3557  0.4807
H  0.6443  0.1250  0.0193
H  0.8750  0.8943  0.5193
Os  0.0000  0.0000  0.0000
Os  0.7500  0.2500  0.5000
F  0.2500  0.7500  0.5000
F  0.5000  0.5000  0.0000

two) Below is an optimized crystal structure of H2OsF, with properties calculated at the PBE-GGA level.

Values from the calculation:
Its density of states at the Fermi level is 1.7 states/eV/f.u.

Cell lengths 3.4716, 3.4716, 3.4716 Å; angles 60.00, 60.00, 60.00 degrees
Sites, in units of the cell vectors:
H  0.2500  0.2500  0.2500
H  0.7500  0.7500  0.7500
Os  0.0000  0.0000  0.0000
F  0.5000  0.5000  0.5000

In order of decreasing stability: one), two).

one) Below is an optimized crystal structure of HOsF2, with properties calculated at the PBE-GGA level.

Values from the calculation:
Its density of states at the Fermi level is 4.4 states/eV/f.u.

Cell lengths 3.7532, 3.7532, 3.7532 Å; angles 60.00, 60.00, 60.00 degrees
Sites, in units of the cell vectors:
H  0.0000  0.0000  0.0000
Os  0.5000  0.5000  0.5000
F  0.2500  0.2500  0.2500
F  0.7500  0.7500  0.7500

two) Below is an optimized crystal structure of HOsF2, with properties calculated at the PBE-GGA level.

Values from the calculation:
Its density of states at the Fermi level is 2.8 states/eV/f.u.

Cell lengths 4.7880, 4.7880, 4.7880 Å; angles 124.61, 124.61, 82.19 degrees
Sites, in units of the cell vectors:
H  0.0000  0.0000  0.0000
H  0.7500  0.2500  0.5000
Os  0.2500  0.7500  0.5000
Os  0.5000  0.5000  0.0000
F  0.3750  0.2060  0.3310
F  0.7940  0.1250  0.1690
F  0.8750  0.0440  0.6690
F  0.9560  0.6250  0.8310

three) Below is an optimized crystal structure of HOsF2, with properties calculated at the PBE-GGA level.

Values from the calculation:
Its density of states at the Fermi level is 3.6 states/eV/f.u.

Cell lengths 6.6674, 6.6674, 6.6674 Å; angles 23.02, 23.02, 23.02 degrees
Sites, in units of the cell vectors:
H  0.0000  0.0000  0.0000
Os  0.5000  0.5000  0.5000
F  0.0590  0.0590  0.0590
F  0.9410  0.9410  0.9410

In order of decreasing stability: three), two), one).

one) Below is an optimized crystal structure of PHF4, with properties calculated at the PBE-GGA level.

Values from the calculation:
Its density of states at the Fermi level is 0.0 states/eV/f.u.

Cell lengths 4.6598, 8.1662, 9.9758 Å; angles 90.00, 117.56, 90.00 degrees
Sites, in units of the cell vectors:
P  0.1863  0.2116  0.1734
P  0.1863  0.2884  0.6734
P  0.8137  0.7116  0.3266
P  0.8137  0.7884  0.8266
H  0.3435  0.1084  0.1167
H  0.3435  0.3916  0.6167
H  0.6565  0.6084  0.3833
H  0.6565  0.8916  0.8833
F  0.0472  0.6487  0.9236
F  0.0472  0.8513  0.4236
F  0.1175  0.5829  0.3864
F  0.1175  0.9171  0.8864
F  0.2283  0.1967  0.3382
F  0.2283  0.3033  0.8382
F  0.4934  0.1624  0.7331
F  0.4934  0.3376  0.2331
F  0.5066  0.6624  0.7669
F  0.5066  0.8376  0.2669
F  0.7717  0.6967  0.1618
F  0.7717  0.8033  0.6618
F  0.8825  0.0829  0.1136
F  0.8825  0.4171  0.6136
F  0.9528  0.1487  0.5764
F  0.9528  0.3513  0.0764

two) Below is an optimized crystal structure of PHF4, with properties calculated at the PBE-GGA level.

Values from the calculation:
Its density of states at the Fermi level is 0.0 states/eV/f.u.

Cell lengths 4.7608, 4.7608, 4.7608 Å; angles 116.91, 116.91, 95.44 degrees
Sites, in units of the cell vectors:
P  0.0000  0.0000  0.0000
H  0.7500  0.2500  0.5000
F  0.0410  0.1855  0.4585
F  0.4175  0.9590  0.1445
F  0.7270  0.5825  0.5415
F  0.8145  0.2730  0.8555

In order of decreasing stability: one), two).

one) Below is an optimized crystal structure of PHF, with properties calculated at the PBE-GGA level.

Values from the calculation:
Its density of states at the Fermi level is 0.0 states/eV/f.u.

Cell lengths 5.9083, 5.9083, 5.3054 Å; angles 111.04, 111.04, 34.33 degrees
Sites, in units of the cell vectors:
P  0.0000  0.0000  0.0000
P  0.6087  0.6087  0.9353
H  0.5410  0.5410  0.6494
H  0.8951  0.8951  0.0841
F  0.0953  0.0953  0.3363
F  0.8933  0.8933  0.6766

two) Below is an optimized crystal structure of PHF, with properties calculated at the PBE-GGA level.

Values from the calculation:
Its density of states at the Fermi level is 0.4 states/eV/f.u.

Cell lengths 2.6921, 4.2067, 4.6576 Å; angles 102.17, 105.87, 108.37 degrees
Sites, in units of the cell vectors:
P  0.0000  0.0000  0.0000
H  0.2715  0.3653  0.1940
F  0.8757  0.0746  0.6592

three) Below is an optimized crystal structure of PHF, with properties calculated at the PBE-GGA level.

Values from the calculation:
Its density of states at the Fermi level is 0.6 states/eV/f.u.

Cell lengths 9.5964, 8.5231, 4.9916 Å; angles 86.31, 62.42, 31.27 degrees
Sites, in units of the cell vectors:
P  0.0281  0.0281  0.7219
P  0.2781  0.2781  0.9719
P  0.7219  0.7219  0.0281
P  0.9719  0.9719  0.2781
H  0.2434  0.2434  0.5066
H  0.4934  0.4934  0.7566
H  0.5066  0.5066  0.2434
H  0.7566  0.7566  0.4934
F  0.0259  0.7241  0.0259
F  0.2759  0.9741  0.2759
F  0.7241  0.0259  0.7241
F  0.9741  0.2759  0.9741

In order of decreasing stability: one), two), three).

one) Below is an optimized crystal structure of PHF, with properties calculated at the PBE-GGA level.

Values from the calculation:
Its density of states at the Fermi level is 0.0 states/eV/f.u.

Cell lengths 3.4812, 5.1196, 5.3841 Å; angles 98.32, 90.36, 90.62 degrees
Sites, in units of the cell vectors:
P  0.0000  0.0000  0.0000
P  0.4974  0.7686  0.1085
H  0.0032  0.2205  0.8702
H  0.5017  0.8944  0.3617
F  0.0056  0.2128  0.2707
F  0.9938  0.8104  0.7115

two) Below is an optimized crystal structure of PHF, with properties calculated at the PBE-GGA level.

Values from the calculation:
Its density of states at the Fermi level is 0.7 states/eV/f.u.

Cell lengths 4.1070, 4.1070, 4.5607 Å; angles 108.75, 108.75, 38.39 degrees
Sites, in units of the cell vectors:
P  0.0000  0.0000  0.0000
H  0.8109  0.8109  0.8050
F  0.9628  0.9628  0.3347

three) Below is an optimized crystal structure of PHF, with properties calculated at the PBE-GGA level.

Values from the calculation:
Its density of states at the Fermi level is 0.3 states/eV/f.u.

Cell lengths 2.3246, 2.6743, 5.6416 Å; angles 103.10, 100.31, 94.01 degrees
Sites, in units of the cell vectors:
P  0.0000  0.0000  0.0000
H  0.1303  0.1393  0.2745
F  0.8537  0.8442  0.6921

four) Below is an optimized crystal structure of PHF, with properties calculated at the PBE-GGA level.

Values from the calculation:
Its density of states at the Fermi level is 1.1 states/eV/f.u.

Cell lengths 2.4639, 2.4639, 5.2255 Å; angles 90.00, 90.00, 90.00 degrees
Sites, in units of the cell vectors:
P  0.0000  0.0000  0.0000
H  0.0000  0.0000  0.2835
F  0.0000  0.0000  0.6790

In order of decreasing stability: one), two), four), three).

one) Below is an optimized crystal structure of PHF, with properties calculated at the PBE-GGA level.

Values from the calculation:
Its density of states at the Fermi level is 0.0 states/eV/f.u.

Cell lengths 5.1619, 3.4817, 5.3573 Å; angles 90.00, 90.22, 90.00 degrees
Sites, in units of the cell vectors:
P  0.0000  0.0000  0.0000
P  0.2335  0.5000  0.8701
H  0.1199  0.5000  0.6280
H  0.7775  0.0000  0.1522
F  0.1757  0.0000  0.2719
F  0.8012  0.0000  0.7490

two) Below is an optimized crystal structure of PHF, with properties calculated at the PBE-GGA level.

Values from the calculation:
Its density of states at the Fermi level is 0.0 states/eV/f.u.

Cell lengths 4.7865, 5.0930, 5.4502 Å; angles 100.68, 99.26, 115.01 degrees
Sites, in units of the cell vectors:
P  0.0000  0.0000  0.0000
P  0.0136  0.9888  0.5846
H  0.0085  0.2891  0.0465
H  0.6588  0.8421  0.9255
F  0.0489  0.6815  0.5168
F  0.3898  0.2332  0.6563

three) Below is an optimized crystal structure of PHF, with properties calculated at the PBE-GGA level.

Values from the calculation:
Its density of states at the Fermi level is 0.7 states/eV/f.u.

Cell lengths 2.3304, 2.4333, 7.7756 Å; angles 91.33, 92.46, 90.52 degrees
Sites, in units of the cell vectors:
P  0.0000  0.0000  0.0000
H  0.8827  0.3727  0.4997
F  0.4891  0.5080  0.4996

In order of decreasing stability: two), one), three).

one) Below is an optimized crystal structure of PH3F, with properties calculated at the PBE-GGA level.

Values from the calculation:
Its density of states at the Fermi level is 0.4 states/eV/f.u.

Cell lengths 6.3729, 8.1777, 5.1397 Å; angles 90.00, 105.63, 90.00 degrees
Sites, in units of the cell vectors:
P  0.2343  0.2440  0.0412
P  0.2343  0.2560  0.5412
P  0.7657  0.7440  0.4588
P  0.7657  0.7560  0.9588
H  0.0762  0.6572  0.0319
H  0.0762  0.8428  0.5319
H  0.2696  0.0724  0.0531
H  0.2696  0.4276  0.5531
H  0.4561  0.2078  0.6156
H  0.4561  0.2922  0.1156
H  0.5439  0.7078  0.8844
H  0.5439  0.7922  0.3844
H  0.7304  0.5724  0.4469
H  0.7304  0.9276  0.9469
H  0.9238  0.1572  0.4681
H  0.9238  0.3428  0.9681
F  0.2239  0.6166  0.0565
F  0.2239  0.8834  0.5565
F  0.7761  0.1166  0.4435
F  0.7761  0.3834  0.9435

two) Below is an optimized crystal structure of PH3F, with properties calculated at the PBE-GGA level.

Values from the calculation:
Its density of states at the Fermi level is 1.8 states/eV/f.u.

Cell lengths 3.3406, 3.3406, 3.3406 Å; angles 90.00, 90.00, 90.00 degrees
Sites, in units of the cell vectors:
P  0.0000  0.0000  0.0000
H  0.0000  0.5000  0.5000
H  0.5000  0.0000  0.5000
H  0.5000  0.5000  0.0000
F  0.5000  0.5000  0.5000

In order of decreasing stability: one), two).